Computed, not measured: an optimized crystal structure of NaLaRe2 at the GGA-PBE level of DFT.

a = 6.3245 Å, b = 6.3245 Å, c = 6.3245 Å
α = 99.62°, β = 99.62°, γ = 131.73°
Sites, in units of the cell vectors:
Na (0.0000, 0.0000, 0.0000)
Na (0.7500, 0.2500, 0.5000)
La (0.2500, 0.7500, 0.5000)
La (0.5000, 0.5000, 0.0000)
Re (0.1006, 0.1250, 0.4756)
Re (0.3750, 0.8994, 0.0244)
Re (0.6494, 0.6250, 0.5244)
Re (0.8750, 0.3506, 0.9756)

Summary:
Its calculated formation energy is 1.40 eV/atom. Its uncorrected energy is -51.1 eV for the cell shown. The energy above the lowest structure with this stoichiometry comes out at 0.000 eV per formula unit.